Li7Mn2Co3O12: optimized geometry, PBE with a Hubbard U.

Unit cell a=5.8881 b=5.9140 c=6.4181 alpha=103.38 beta=103.05 gamma=91.63
With the nearest neighbours (Å) after each atom.
Element x y z (fractional)
Li 0.9978 0.5045 0.0076  6 O 2.05-2.20
Li 0.3351 0.8310 0.3353  6 O 2.06-2.14
Li 0.1436 0.1847 0.6594  5 O 1.99-2.16
Li 0.5144 0.4841 0.9985  5 O 2.10-2.19
Li 0.6698 0.1663 0.6578  6 O 2.06-2.25
Li 0.8365 0.8340 0.3398  6 O 2.06-2.30
Li 0.8303 0.3358 0.3336  6 O 2.03-2.14
Mn 0.9941 0.0075 0.9972  6 O 1.92-1.99
Mn 0.3330 0.3343 0.3383  6 O 1.91-1.96
Co 0.6751 0.6603 0.6671  5 O 1.90-2.12
Co 0.5014 0.0000 0.0014  4 O 1.89-1.95
Co 0.1654 0.6656 0.6655  4 O 1.90-1.95
O 0.7701 0.7584 0.9923  1 Mn 1.94, 2 Co 1.97-2.16, 2 Li 2.05-2.11
O 0.0894 0.0894 0.3144  2 Mn 1.93-1.96, 4 Li 2.10-2.15
O 0.9165 0.4545 0.6674  2 Co 1.90, 3 Li 2.03-2.11
O 0.2386 0.7836 0.9853  2 Co 1.95, 1 Mn 1.99, 1 Li 2.14
O 0.4130 0.3959 0.6521  1 Mn 1.91, 3 Li 2.01-2.10
O 0.5574 0.0958 0.3120  1 Co 1.89, 1 Mn 1.96, 3 Li 2.07-2.10
O 0.2326 0.2532 0.0152  2 Mn 1.96, 3 Li 2.06-2.16
O 0.5709 0.5704 0.3459  1 Mn 1.93, 1 Co 1.95, 3 Li 2.10-2.11
O 0.4333 0.8748 0.6855  3 Co 1.93-1.94, 1 Li 2.14
O 0.7488 0.2150 0.9959  1 Co 1.92, 1 Mn 1.92, 3 Li 2.06-2.14
O 0.9247 0.9318 0.6793  1 Mn 1.93, 3 Li 1.99-2.08, 2 Co 2.12-2.15
O 0.1082 0.5692 0.3534  1 Co 1.90, 1 Mn 1.95, 3 Li 2.06-2.11

Calculated values
calculated total energy	-141.00	eV for the cell shown
excess energy over the best structure of this formula in the dataset	0.52	eV per formula unit
mass density	4.15	g cm⁻³
spin magnetization	12.0	μB/f.u.